[1]
VASP calculation (GGA-PBE) on a geometry-optimized LiSn2P2 structure.

Output
E_form, eV per atom: -0.01
Crystal system: tetragonal
Density, kg/m3: 4884
Energy relative to the lowest polymorph listed for this composition, kcal/mol of atoms: 0.00
Uncorrected energy, eV per formula unit: -20.8

a = 7.418 Å, b = 7.418 Å, c = 3.785 Å
α = 90.00°, β = 90.00°, γ = 90.00°
Atoms (fractional coordinates):
Li (0.000, 0.000, 0.000)
Li (0.500, 0.500, 0.000)
Sn (0.153, 0.347, 0.500)
Sn (0.347, 0.847, 0.500)
Sn (0.653, 0.153, 0.500)
Sn (0.847, 0.653, 0.500)
P (0.160, 0.660, 0.000)
P (0.340, 0.160, 0.000)
P (0.660, 0.840, 0.000)
P (0.840, 0.340, 0.000)

---

[2]
VASP calculation (GGA-PBE) on a geometry-optimized Tb2ThUAs4 structure.

Output
E_form, eV per atom: -1.30
Crystal system: monoclinic
Density, kg/m3: 8879
Uncorrected energy, eV per formula unit: -56.9

a = 7.188 Å, b = 4.153 Å, c = 7.223 Å
α = 90.00°, β = 109.37°, γ = 90.00°
Atoms (fractional coordinates):
Tb (0.000, 0.000, 0.000)
Tb (0.500, 0.500, 0.000)
Th (0.000, 0.500, 0.500)
U (0.500, 0.000, 0.500)
As (0.255, 0.500, 0.250)
As (0.257, 0.000, 0.753)
As (0.743, 0.000, 0.247)
As (0.745, 0.500, 0.750)

---

[3]
VASP calculation (GGA-PBE) on a geometry-optimized YTa2Mn structure.

Output
E_form, eV per atom: 0.54
Crystal system: cubic
Density, kg/m3: 11771
Energy relative to the lowest polymorph listed for this composition, kcal/mol of atoms: 7.85
Uncorrected energy, eV per formula unit: -37.2

a = 4.655 Å, b = 4.655 Å, c = 4.655 Å
α = 60.00°, β = 60.00°, γ = 60.00°
Atoms (fractional coordinates):
Y (0.000, 0.000, 0.000)
Ta (0.250, 0.250, 0.250)
Ta (0.750, 0.750, 0.750)
Mn (0.500, 0.500, 0.500)

---

[4]
VASP calculation (GGA-PBE) on a geometry-optimized BeCoAu structure.

Output
E_form, eV per atom: 0.11
Crystal system: cubic
Density, kg/m3: 11216
Energy relative to the lowest polymorph listed for this composition, kcal/mol of atoms: 2.29
Uncorrected energy, eV per formula unit: -13.8

a = 3.814 Å, b = 3.814 Å, c = 3.814 Å
α = 60.00°, β = 60.00°, γ = 60.00°
Atoms (fractional coordinates):
Be (0.000, 0.000, 0.000)
Co (0.250, 0.250, 0.250)
Au (0.750, 0.750, 0.750)

---

[5]
VASP calculation (GGA-PBE) on a geometry-optimized HfGaSn structure.

Output
E_form, eV per atom: -0.14
Crystal system: tetragonal
Density, kg/m3: 9779
Energy relative to the lowest polymorph listed for this composition, kcal/mol of atoms: 4.10
Uncorrected energy, eV per formula unit: -17.4

a = 5.808 Å, b = 5.808 Å, c = 5.808 Å
α = 145.59°, β = 145.59°, γ = 49.46°
Atoms (fractional coordinates):
Hf (0.000, 0.000, 0.000)
Ga (0.353, 0.353, 0.000)
Sn (0.685, 0.685, 0.000)

---

[6]
VASP calculation (GGA-PBE) on a geometry-optimized NaCr3Cl structure.

Output
Crystal system: cubic
Density, kg/m3: 4727
ΔE_f (raw), meV per atom: 1158
Energy relative to the lowest polymorph listed for this composition, kcal/mol of atoms: 0.00
Uncorrected energy, eV per formula unit: -26.2

a = 4.223 Å, b = 4.223 Å, c = 4.223 Å
α = 90.00°, β = 90.00°, γ = 90.00°
Atoms (fractional coordinates):
Na (0.000, 0.000, 0.000)
Cr (0.000, 0.500, 0.500)
Cr (0.500, 0.000, 0.500)
Cr (0.500, 0.500, 0.000)
Cl (0.500, 0.500, 0.500)

---

Question: What is the uncorrected energy in the second record?
Answer: -56.9 eV per formula unit